8
Lattice="4.526 0.000 0.000 0.000 4.526 0.000 0.000 0.000 10.696" Properties=species:S:1:pos:R:3 comment="Sr2CrP (PBE-GGA, optimized geometry)" spacegroup="I-4m2 (119)" total_magnetization_mub_per_fu=4.6 density_g_cm3=3.91 volume_a3_per_atom=27.39 ef_ev_per_atom=0.137 n_ef_per_ev_fu=2.709 pbc="T T T"
Sr 0.000 0.000 0.000
Sr 0.000 2.263 2.674
Sr 2.263 0.000 8.022
Sr 2.263 2.263 5.348
Cr 0.000 2.263 8.022
Cr 2.263 0.000 2.674
P 0.000 0.000 5.348
P 2.263 2.263 0.000

---

4
Lattice="4.602 0.000 0.000 0.000 4.602 0.000 0.000 0.000 3.832" Properties=species:S:1:pos:R:3 comment="SrCrP2 (PBE-GGA, optimized geometry)" spacegroup="P4/mmm (123)" relative_energy_ev_per_atom=0.605 total_magnetization_mub_per_fu=4.1 density_g_cm3=4.12 volume_a3_per_atom=20.29 ef_ev_per_atom=0.040 n_ef_per_ev_fu=2.593 pbc="T T T"
Sr 0.000 0.000 0.000
Cr 2.301 2.301 0.000
P 0.000 2.301 1.916
P 2.301 0.000 1.916

---

16
Lattice="11.363 0.000 0.000 0.000 11.363 0.000 0.000 0.000 4.562" Properties=species:S:1:pos:R:3 comment="Sr2CrP (PBE-GGA, optimized geometry)" spacegroup="I-42d (122)" total_magnetization_mub_per_fu=3.3 density_g_cm3=2.91 volume_a3_per_atom=36.81 ef_ev_per_atom=-0.144 n_ef_per_ev_fu=2.846 pbc="T T T"
Sr 0.900 2.841 0.570
Sr 2.841 6.582 1.711
Sr 2.841 10.463 3.992
Sr 4.781 2.841 2.851
Sr 6.582 8.522 2.851
Sr 8.522 0.900 3.992
Sr 8.522 4.781 1.711
Sr 10.463 8.522 0.570
Cr 0.000 0.000 2.281
Cr 0.000 5.682 3.421
Cr 5.682 0.000 1.140
Cr 5.682 5.682 0.000
P 0.000 0.000 0.000
P 0.000 5.682 1.140
P 5.682 0.000 3.421
P 5.682 5.682 2.281

---

10
Lattice="7.386 0.000 0.000 0.000 7.386 0.000 0.000 0.000 4.386" Properties=species:S:1:pos:R:3 comment="Sr2CrP2 (PBE-GGA, optimized geometry)" spacegroup="P4/mbm (127)" total_magnetization_mub_per_fu=4.0 density_g_cm3=4.01 volume_a3_per_atom=23.93 ef_ev_per_atom=-0.496 n_ef_per_ev_fu=1.197 pbc="T T T"
Sr 1.103 2.590 0.000
Sr 2.590 6.283 0.000
Sr 4.796 1.103 0.000
Sr 6.283 4.796 0.000
Cr 0.000 0.000 2.193
Cr 3.693 3.693 2.193
P 1.224 4.917 2.193
P 2.469 1.224 2.193
P 4.917 6.162 2.193
P 6.162 2.469 2.193

---

8
Lattice="3.355 0.000 0.000 0.000 3.496 0.000 0.000 0.000 13.610" Properties=species:S:1:pos:R:3 comment="SrCrP2 (PBE-GGA, optimized geometry)" spacegroup="Imm2 (44)" relative_energy_ev_per_atom=0.230 total_magnetization_mub_per_fu=2.2 density_g_cm3=4.19 volume_a3_per_atom=19.95 ef_ev_per_atom=-0.335 n_ef_per_ev_fu=1.839 pbc="T T T"
Sr 0.000 0.000 0.000
Sr 1.677 1.748 6.805
Cr 0.000 1.748 10.181
Cr 1.677 0.000 3.376
P 0.000 0.000 5.030
P 0.000 1.748 2.525
P 1.677 0.000 9.330
P 1.677 1.748 11.835

---

10
Lattice="3.998 0.000 0.000 0.000 3.998 0.000 0.000 0.000 11.695" Properties=species:S:1:pos:R:3 comment="SrCrTcP2 (PBE-GGA, optimized geometry)" spacegroup="I-4m2 (119)" total_magnetization_mub_per_fu=2.3 density_g_cm3=5.32 volume_a3_per_atom=18.69 ef_ev_per_atom=-0.717 n_ef_per_ev_fu=3.127 pbc="T T T"
Sr 0.000 0.000 0.000
Sr 1.999 1.999 5.848
Cr 0.000 1.999 8.772
Cr 1.999 0.000 2.924
Tc 0.000 1.999 2.924
Tc 1.999 0.000 8.772
P 0.000 0.000 4.173
P 0.000 0.000 7.522
P 1.999 1.999 1.675
P 1.999 1.999 10.021

---

5
Lattice="4.416 0.000 0.000 0.000 4.416 0.000 0.000 0.000 4.887" Properties=species:S:1:pos:R:3 comment="SrTiCr2P (PBE-GGA, optimized geometry)" spacegroup="P4/mmm (123)" total_magnetization_mub_per_fu=0.0 density_g_cm3=4.71 volume_a3_per_atom=19.06 ef_ev_per_atom=2.631 n_ef_per_ev_fu=8.407 pbc="T T T"
Sr 0.000 0.000 0.000
Ti 0.000 0.000 2.443
Cr 0.000 2.208 0.000
Cr 2.208 0.000 0.000
P 2.208 2.208 2.443

---

6
Lattice="3.542 0.000 0.000 0.000 3.542 0.000 0.000 0.000 6.474" Properties=species:S:1:pos:R:3 comment="TaCrP (PBE-GGA, optimized geometry)" spacegroup="P4/nmm (129)" total_magnetization_mub_per_fu=0.5 density_g_cm3=10.79 volume_a3_per_atom=13.53 ef_ev_per_atom=-0.614 n_ef_per_ev_fu=2.037 pbc="T T T"
Ta 0.885 0.885 0.988
Ta 2.656 2.656 5.485
Cr 0.885 2.656 3.237
Cr 2.656 0.885 3.237
P 0.885 0.885 4.851
P 2.656 2.656 1.622

---

4
Lattice="3.108 0.000 0.000 0.000 3.108 0.000 0.000 0.000 5.485" Properties=species:S:1:pos:R:3 comment="TaCr2P (PBE-GGA, optimized geometry)" spacegroup="P4/mmm (123)" total_magnetization_mub_per_fu=1.2 density_g_cm3=9.90 volume_a3_per_atom=13.24 ef_ev_per_atom=-0.175 n_ef_per_ev_fu=3.922 pbc="T T T"
Ta 0.000 0.000 0.000
Cr 1.554 1.554 1.523
Cr 1.554 1.554 3.963
P 0.000 0.000 2.743

---

8
Lattice="8.411 0.000 0.000 0.000 3.072 0.000 -1.283 0.000 4.126" Properties=species:S:1:pos:R:3 comment="TaCr2P (PBE-GGA, optimized geometry)" spacegroup="C2/m (12)" total_magnetization_mub_per_fu=0.0 density_g_cm3=9.84 volume_a3_per_atom=13.33 ef_ev_per_atom=-0.148 n_ef_per_ev_fu=3.290 pbc="T T T"
Ta 0.000 0.000 0.000
Ta 4.206 1.536 0.000
Cr 1.049 0.000 2.887
Cr 1.873 1.536 1.239
Cr 5.254 1.536 2.887
Cr 6.079 0.000 1.239
P -0.642 1.536 2.063
P 3.564 0.000 2.063

---

4
Lattice="3.043 0.000 0.000 0.000 3.043 0.000 0.000 0.000 5.767" Properties=species:S:1:pos:R:3 comment="TaCr2P (PBE-GGA, optimized geometry)" spacegroup="P4mm (99)" total_magnetization_mub_per_fu=0.0 density_g_cm3=9.82 volume_a3_per_atom=13.35 ef_ev_per_atom=-0.122 n_ef_per_ev_fu=3.452 pbc="T T T"
Ta 0.000 0.000 0.000
Cr 0.000 0.000 3.004
Cr 1.522 1.522 1.882
P 1.522 1.522 4.301

---

12
Lattice="3.020 0.000 0.000 -1.510 2.615 0.000 0.000 0.000 21.550" Properties=species:S:1:pos:R:3 comment="TaCr2P (PBE-GGA, optimized geometry)" spacegroup="R3m (160)" total_magnetization_mub_per_fu=0.0 density_g_cm3=9.25 volume_a3_per_atom=14.18 ef_ev_per_atom=0.174 n_ef_per_ev_fu=2.989 pbc="T T T"
Ta 0.000 0.000 0.000
Ta 0.000 1.744 14.367
Ta 1.510 0.872 7.183
Cr 0.000 0.000 10.888
Cr 0.000 0.000 16.332
Cr 0.000 1.744 3.705
Cr 0.000 1.744 9.148
Cr 1.510 0.872 1.965
Cr 1.510 0.872 18.072
P 0.000 0.000 5.268
P 0.000 1.744 19.635
P 1.510 0.872 12.451